# 1
Below is crystalline GeAu3C at its relaxed geometry, with properties calculated at the GGA-PBE level.

Cell: 4.9003 4.9003 4.9003 Å, 90.00 90.00 90.00°
Space group Pm-3m (No. 221)
Asymmetric unit:
Ge  0.0000  0.0000  0.0000 [1 per cell]
Au  0.0000  0.0000  0.5000 [3 per cell]
C  0.5000  0.5000  0.5000 [1 per cell]

DFT formation energy, eV per atom: 1.742


# 2
Below is crystalline Pr2AlCu2Pt5 at its relaxed geometry, with properties calculated at the GGA-PBE level.

Cell: 9.6199 9.6199 3.8491 Å, 90.00 90.00 90.00°
Space group P4/mbm (No. 127)
Asymmetric unit:
Pr  0.1760  0.3240  0.0000 [4 per cell]
Al  0.0000  0.0000  0.0000 [2 per cell]
Cu  0.1229  0.6229  0.0000 [4 per cell]
Pt  0.0000  0.5000  0.5000 [2 per cell]
Pt  0.0626  0.7973  0.5000 [8 per cell]

DFT formation energy, eV per atom: -0.784


# 3
Below is crystalline TaHI2 at its relaxed geometry, with properties calculated at the GGA-PBE level.

Cell: 3.5153 7.2956 8.4994 Å, 108.10 101.87 90.33°
Space group P1 (No. 1)
Asymmetric unit:
Ta  0.0000  0.0000  0.0000 [1 per cell]
Ta  0.4486  0.6358  0.8677 [1 per cell]
H  0.3415  0.4672  0.6622 [1 per cell]
H  0.9153  0.5125  0.8185 [1 per cell]
I  0.0898  0.7120  0.1679 [1 per cell]
I  0.4328  0.2195  0.8537 [1 per cell]
I  0.6418  0.1929  0.2749 [1 per cell]
I  0.8331  0.7742  0.6524 [1 per cell]


# 4
Below is crystalline Eu2NiH at its relaxed geometry, with properties calculated at the GGA-PBE level.

Cell: 3.3647 3.3647 7.0322 Å, 90.00 90.00 90.00°
Space group P4/mmm (No. 123)
Asymmetric unit:
Eu  0.0000  0.0000  0.2468 [2 per cell]
Ni  0.5000  0.5000  0.5000 [1 per cell]
H  0.5000  0.5000  0.0000 [1 per cell]


# 5
Below is crystalline Pr6Y5Tm at its relaxed geometry, with properties calculated at the GGA-PBE level.

Cell: 5.9397 7.7162 17.8666 Å, 90.00 90.00 90.00°
Space group Immm (No. 71)
Asymmetric unit:
Pr  0.0000  0.2442  0.0000 [4 per cell]
Pr  0.0000  0.2533  0.3356 [8 per cell]
Y  0.0000  0.0000  0.1691 [4 per cell]
Y  0.0000  0.0000  0.5000 [2 per cell]
Y  0.0000  0.5000  0.1667 [4 per cell]
Tm  0.0000  0.5000  0.5000 [2 per cell]

DFT formation energy, eV per atom: 0.080


# 6
Below is crystalline Sr2TlAg at its relaxed geometry, with properties calculated at the GGA-PBE level.

Cell: 7.6459 4.3739 9.2242 Å, 90.00 105.67 90.00°
Space group C2/m (No. 12)
Asymmetric unit:
Sr  0.2430  0.0000  0.2298 [4 per cell]
Tl  0.0000  0.0000  0.5000 [2 per cell]
Ag  0.0000  0.5000  0.0000 [2 per cell]

DFT formation energy, eV per atom: -0.217


# 7
Below is crystalline SmCuPdRh at its relaxed geometry, with properties calculated at the GGA-PBE level.

Cell: 6.5606 6.5606 6.5606 Å, 90.00 90.00 90.00°
Space group F-43m (No. 216)
Asymmetric unit:
Sm  0.0000  0.0000  0.0000 [4 per cell]
Cu  0.0000  0.0000  0.5000 [4 per cell]
Pd  0.2500  0.2500  0.7500 [4 per cell]
Rh  0.2500  0.2500  0.2500 [4 per cell]

DFT formation energy, eV per atom: -0.417


# 8
Below is crystalline Ba2ZrSe2O2 at its relaxed geometry, with properties calculated at the GGA-PBE level.

Cell: 4.4279 4.4279 16.5371 Å, 90.00 90.00 90.00°
Space group I4/mmm (No. 139)
Asymmetric unit:
Ba  0.0000  0.0000  0.1266 [4 per cell]
Zr  0.0000  0.0000  0.5000 [2 per cell]
Se  0.0000  0.0000  0.3340 [4 per cell]
O  0.0000  0.5000  0.0000 [4 per cell]

Formation energy from raw total energies, meV per atom: -2458


| no. | calculated total energy (eV/atom) |
| --- | --- |
| 1 | -2.9930 |
| 2 | -5.9542 |
| 3 | -4.6708 |
| 4 | -7.5030 |
| 5 | -5.3754 |
| 6 | -2.3618 |
| 7 | -5.7570 |
| 8 | -6.6406 |